Record 1
Below is a relaxed structure of Ca2Mo2O7, with properties calculated at the PBE+U level.

abc: 7.4227 7.4227 7.4227
angles: 60.00 60.00 60.00
Last column: nearest neighbours and their distance in Å.
Atoms (fractional coordinates):
Mo: 0.1250 0.6250 0.1250  6 O 1.98
Mo: 0.6250 0.1250 0.1250  6 O 1.98
Mo: 0.1250 0.1250 0.1250  6 O 1.98
Mo: 0.1250 0.1250 0.6250  6 O 1.98
Ca: 0.6250 0.1250 0.6250  2 O 2.27
Ca: 0.6250 0.6250 0.6250  2 O 2.27
Ca: 0.6250 0.6250 0.1250  2 O 2.27
Ca: 0.1250 0.6250 0.6250  2 O 2.27
O: 0.7500 0.7500 0.7500  4 Ca 2.27
O: 0.0585 0.4415 0.4415  2 Mo 1.98
O: 0.8085 0.1915 0.1915  2 Mo 1.98
O: 0.8085 0.8085 0.1915  2 Mo 1.98
O: 0.8085 0.1915 0.8085  2 Mo 1.98
O: 0.4415 0.0585 0.0585  2 Mo 1.98
O: 0.1915 0.1915 0.8085  2 Mo 1.98
O: 0.4415 0.4415 0.0585  2 Mo 1.98
O: 0.5000 0.5000 0.5000  4 Ca 2.27
O: 0.1915 0.8085 0.1915  2 Mo 1.98
O: 0.4415 0.0585 0.4415  2 Mo 1.98
O: 0.0585 0.4415 0.0585  2 Mo 1.98
O: 0.0585 0.0585 0.4415  2 Mo 1.98
O: 0.1915 0.8085 0.8085  2 Mo 1.98

Uncorrected energy = -6.986 eV/atom
Theoretical density = 4.4 g/cm³
Space-group type = Fd-3m


Record 2
Below is a relaxed structure of CaMoO2, with properties calculated at the PBE+U level.

abc: 5.1810 5.1810 6.2311
angles: 65.43 65.43 90.00
Last column: nearest neighbours and their distance in Å.
Atoms (fractional coordinates):
Mo: 0.0000 0.0000 0.0000  4 O 2.18
Mo: 0.7500 0.2500 0.5000  4 O 2.18
O: 0.8750 0.8900 0.7500  2 Mo 2.18, 2 Ca 2.27
O: 0.3750 0.3600 0.7500  2 Mo 2.18, 2 Ca 2.27
O: 0.6400 0.1250 0.2500  2 Mo 2.18, 2 Ca 2.27
O: 0.1100 0.6250 0.2500  2 Mo 2.18, 2 Ca 2.27
Ca: 0.2500 0.7500 0.5000  4 O 2.27
Ca: 0.5000 0.5000 0.0000  4 O 2.27

ΔE to the lowest computed polymorph = 325 meV/atom
Theoretical density = 4.1 g/cm³
Space-group type = I-42d


Record 3
Below is a relaxed structure of Ca3MoO, with properties calculated at the PBE+U level.

abc: 4.9654 4.9654 4.9654
angles: 90.00 90.00 90.00
Last column: nearest neighbours and their distance in Å.
Atoms (fractional coordinates):
O: 0.0000 0.0000 0.0000  6 Ca 2.48
Ca: 0.0000 0.5000 0.0000  2 O 2.48
Ca: 0.0000 0.0000 0.5000  2 O 2.48
Ca: 0.5000 0.0000 0.0000  2 O 2.48
Mo: 0.5000 0.5000 0.5000  12 Ca 3.51

ΔE to the lowest computed polymorph = 0 meV/atom
Theoretical density = 3.1 g/cm³
Space-group type = Pm-3m


Record 4
Below is a relaxed structure of CaMo2O5, with properties calculated at the PBE+U level.

abc: 5.9034 5.9034 11.5730
angles: 90.00 90.00 137.82
Last column: nearest neighbours and their distance in Å.
Atoms (fractional coordinates):
O: 0.0444 0.9556 0.1187  1 Mo 1.82
O: 0.6983 0.3017 0.7500  2 Mo 2.07
O: 0.7453 0.2547 0.4248  3 Mo 2.04-2.18
O: 0.9556 0.0444 0.6187  1 Mo 1.82
O: 0.2547 0.7453 0.9248  3 Mo 2.04-2.18
O: 0.0444 0.9556 0.3813  1 Mo 1.82
O: 0.9556 0.0444 0.8813  1 Mo 1.82
O: 0.7453 0.2547 0.0752  3 Mo 2.04-2.18
O: 0.2547 0.7453 0.5752  3 Mo 2.04-2.18
O: 0.3017 0.6983 0.2500  2 Mo 2.07
Mo: 0.2075 0.7925 0.4049  1 O 1.82
Mo: 0.7925 0.2075 0.9049  1 O 1.82
Mo: 0.2075 0.7925 0.0951  1 O 1.82
Mo: 0.7925 0.2075 0.5951  1 O 1.82
Ca: 0.1001 0.8999 0.7500  4 O 2.20-2.38
Ca: 0.8999 0.1001 0.2500  4 O 2.20-2.38

ΔE to the lowest computed polymorph = 36 meV/atom
Theoretical density = 3.8 g/cm³
Space-group type = Cmcm


Question: What is the formula in the fourth record?
Answer: CaMo2O5